Model i:
Computed, not measured: an optimized crystal structure of Na2Co3O6 at the PBE+U level of DFT.

abc: 6.834 8.086 11.094
angles: 90.00 90.00 90.00
Space group Amm2 (No. 38)
Inequivalent atoms, fractional coordinates:
Na: 0.000 0.000 0.000
Na: 0.000 0.170 0.495
Na: 0.500 0.000 0.469
Co: 0.240 0.000 0.231
Co: 0.241 0.169 0.735
O: 0.220 0.170 0.122
O: 0.234 0.000 0.842
O: 0.236 0.000 0.623
O: 0.249 0.166 0.345

## Properties
Total magnetization, μB/f.u.: 7.00
Crystal system: orthorhombic
Fermi-level density of states, states/eV/atom: 0.082

Model ii:
Computed, not measured: an optimized crystal structure of Na2Co3O6 at the PBE+U level of DFT.

abc: 9.9224 9.9224 33.1621
angles: 90.00 90.00 120.00
Space group R-3c (No. 167, hexagonal axes)
Inequivalent atoms, fractional coordinates:
Na: 0.0000 0.0000 0.0849
Na: 0.0000 0.1904 0.2500
Na: 0.0000 0.3639 0.7500
Co: 0.0000 0.0000 0.0000
Co: 0.0000 0.0000 0.1696
Co: 0.9998 0.4992 0.1660
Co: 0.0000 0.5000 0.0000
O: 0.0007 0.3328 0.6377
O: 0.0028 0.1654 0.1384
O: 0.0028 0.1659 0.4696
O: 0.0036 0.1705 0.8006

## Properties
Total magnetization, μB/f.u.: 2.00
Crystal system: trigonal
Fermi-level density of states, states/eV/atom: 0.232

Model iii:
Computed, not measured: an optimized crystal structure of Na2Co3O6 at the PBE+U level of DFT.

abc: 4.953 8.582 5.669
angles: 90.00 107.27 90.00
Space group C2/m (No. 12)
Inequivalent atoms, fractional coordinates:
Na: 0.000 0.168 0.000
Co: 0.000 0.000 0.500
Co: 0.000 0.334 0.500
O: 0.225 0.166 0.681
O: 0.235 0.500 0.682

## Properties
Total magnetization, μB/f.u.: 0.92
Crystal system: monoclinic

Which is most stable? The ranking, best first, is model iii, model ii, model i.